VASP calculation (GGA-PBE) on Ba3Ge2B6O16 after structural relaxation.

Computed properties:
DFT total energy = -7.457 eV/atom
space-group type = P-1 (2)
total moment = 0.00 μB/f.u.
formation energy (no corrections) = -2.479 eV/atom
crystal system = triclinic
calculated volume = 334.68 Å³ per cell

abc: 5.1647 7.7870 8.7454
angles: 77.31 77.33 88.59
With the nearest neighbours (Å) after each atom.
Positions (direct):
Ba (0.0000, 0.0000, 0.0000)  8 O 2.73-2.95
Ba (0.1111, 0.5811, 0.7438)  8 O 2.73-3.01
Ba (0.8889, 0.4189, 0.2562)  8 O 2.73-3.01
Ge (0.2811, 0.1724, 0.5585)  4 O 1.76-1.78
Ge (0.7189, 0.8276, 0.4415)  4 O 1.76-1.78
B (0.2965, 0.7586, 0.2964)  4 O 1.46-1.52
B (0.4628, 0.3006, 0.9716)  3 O 1.35-1.42
B (0.4663, 0.0906, 0.2478)  4 O 1.45-1.52
B (0.5337, 0.9094, 0.7522)  4 O 1.45-1.52
B (0.5372, 0.6994, 0.0284)  3 O 1.35-1.42
B (0.7035, 0.2414, 0.7036)  4 O 1.46-1.52
O (0.0042, 0.7149, 0.3686)  1 B 1.52
O (0.1990, 0.3231, 0.9934)  1 B 1.35
O (0.2740, 0.1812, 0.3562)  1 B 1.49
O (0.2929, 0.9593, 0.6806)  1 B 1.52
O (0.3495, 0.9417, 0.2093)  2 B 1.45-1.46
O (0.3659, 0.6402, 0.1807)  2 B 1.42-1.50
O (0.4150, 0.7803, 0.9033)  2 B 1.40-1.49
O (0.4404, 0.7056, 0.4302)  1 B 1.50
O (0.5596, 0.2944, 0.5698)  1 B 1.50
O (0.5850, 0.2197, 0.0967)  2 B 1.40-1.49
O (0.6341, 0.3598, 0.8193)  2 B 1.42-1.50
O (0.6505, 0.0583, 0.7907)  2 B 1.45-1.46
O (0.7071, 0.0407, 0.3194)  1 B 1.52
O (0.7260, 0.8188, 0.6438)  1 B 1.49
O (0.8010, 0.6769, 0.0066)  1 B 1.35
O (0.9958, 0.2851, 0.6314)  1 B 1.52



VASP calculation (GGA-PBE) on BaGe2BRu2 after structural relaxation.

Computed properties:
DFT total energy = -6.456 eV/atom
space-group type = P4/mmm (123)
total moment = 0.00 μB/f.u.
energy relative to the elements = -0.39 eV per atom
crystal system = tetragonal
calculated volume = 112.43 Å³ per cell

abc: 4.2066 4.2066 6.3534
angles: 90.00 90.00 90.00
With the nearest neighbours (Å) after each atom.
Positions (direct):
Ba (0.0000, 0.0000, 0.0000)  2 B 3.18, 8 Ge 3.41
Ge (0.5000, 0.5000, 0.2637)  4 Ru 2.58
Ge (0.5000, 0.5000, 0.7363)  4 Ru 2.58
B (0.0000, 0.0000, 0.5000)  4 Ru 2.10
Ru (0.0000, 0.5000, 0.5000)  2 B 2.10
Ru (0.5000, 0.0000, 0.5000)  2 B 2.10



VASP calculation (GGA-PBE) on BaGe2BS6 after structural relaxation.

Computed properties:
DFT total energy = -4.841 eV/atom
space-group type = C2/c (15)
total moment = 0.00 μB/f.u.
formation energy (no corrections) = -0.581 eV/atom
crystal system = monoclinic
calculated volume = 506.83 Å³ per cell

abc: 8.8433 8.8433 8.2254
angles: 117.41 117.41 78.86
With the nearest neighbours (Å) after each atom.
Positions (direct):
Ba (0.1955, 0.8045, 0.7500)  8 S 3.18-3.44
Ba (0.8045, 0.1955, 0.2500)  8 S 3.18-3.44
Ge (0.2319, 0.3764, 0.9381)  4 S 2.26-2.45
Ge (0.3764, 0.2319, 0.4381)  4 S 2.26-2.45
Ge (0.6236, 0.7681, 0.5619)  4 S 2.26-2.45
Ge (0.7681, 0.6236, 0.0619)  4 S 2.26-2.45
B (0.1674, 0.8326, 0.2500)  4 S 1.92-1.96
B (0.8326, 0.1674, 0.7500)  4 S 1.92-1.96
S (0.0252, 0.1667, 0.6937)  1 B 1.96
S (0.1317, 0.6471, 0.9918)  1 B 1.92
S (0.1667, 0.0252, 0.1937)  1 B 1.96
S (0.3214, 0.4004, 0.7096)  2 Ge 2.26-2.45
S (0.3529, 0.8683, 0.5082)  1 B 1.92
S (0.4004, 0.3214, 0.2096)  2 Ge 2.26-2.45
S (0.5996, 0.6786, 0.7904)  2 Ge 2.26-2.45
S (0.6471, 0.1317, 0.4918)  1 B 1.92
S (0.6786, 0.5996, 0.2904)  2 Ge 2.26-2.45
S (0.8333, 0.9748, 0.8063)  1 B 1.96
S (0.8683, 0.3529, 0.0082)  1 B 1.92
S (0.9748, 0.8333, 0.3063)  1 B 1.96



VASP calculation (GGA-PBE) on BaSc2GeB after structural relaxation.

Computed properties:
DFT total energy = -4.596 eV/atom
space-group type = P4/mmm (123)
total moment = 0.00 μB/f.u.
energy relative to the elements = 0.58 eV per atom
crystal system = tetragonal
calculated volume = 119.33 Å³ per cell

abc: 5.2902 5.2902 4.2639
angles: 90.00 90.00 90.00
With the nearest neighbours (Å) after each atom.
Positions (direct):
Ba (0.0000, 0.0000, 0.0000)  8 Sc 3.40, 4 B 3.74
Sc (0.0000, 0.5000, 0.5000)  2 Ge 2.65
Sc (0.5000, 0.0000, 0.5000)  2 Ge 2.65
Ge (0.5000, 0.5000, 0.5000)  2 B 2.13
B (0.5000, 0.5000, 0.0000)  2 Ge 2.13



VASP calculation (GGA-PBE) on BaGeBSe2 after structural relaxation.

Computed properties:
DFT total energy = -4.250 eV/atom
space-group type = P4/mmm (123)
total moment = 0.00 μB/f.u.
formation energy (no corrections) = -0.212 eV/atom
crystal system = tetragonal
calculated volume = 114.93 Å³ per cell

abc: 5.2339 5.2339 4.1956
angles: 90.00 90.00 90.00
With the nearest neighbours (Å) after each atom.
Positions (direct):
Ba (0.0000, 0.0000, 0.0000)  8 Se 3.35, 4 Ge 3.70
Ge (0.5000, 0.5000, 0.0000)  2 B 2.10
B (0.5000, 0.5000, 0.5000)  2 Ge 2.10
Se (0.0000, 0.5000, 0.5000)  2 B 2.62
Se (0.5000, 0.0000, 0.5000)  2 B 2.62



VASP calculation (GGA-PBE) on BaSiGeB2 after structural relaxation.

Computed properties:
DFT total energy = -3.813 eV/atom
space-group type = P4/mmm (123)
total moment = 0.00 μB/f.u.
formation energy (no corrections) = 1.250 eV/atom
crystal system = tetragonal
calculated volume = 107.78 Å³ per cell

abc: 4.2302 4.2302 6.0230
angles: 90.00 90.00 90.00
With the nearest neighbours (Å) after each atom.
Positions (direct):
Ba (0.0000, 0.0000, 0.0000)  4 Ge 2.99, 2 Si 3.01
Si (0.0000, 0.0000, 0.5000)  4 B 2.12
Ge (0.5000, 0.5000, 0.0000)  4 Ba 2.99
B (0.0000, 0.5000, 0.5000)  2 Si 2.12
B (0.5000, 0.0000, 0.5000)  2 Si 2.12



VASP calculation (GGA-PBE) on BaTa2GeB after structural relaxation.

Computed properties:
DFT total energy = -4.345 eV/atom
space-group type = P4/mmm (123)
total moment = 0.00 μB/f.u.
energy relative to the elements = 3.04 eV per atom
crystal system = tetragonal
calculated volume = 121.10 Å³ per cell

abc: 5.2585 5.2585 4.3794
angles: 90.00 90.00 90.00
With the nearest neighbours (Å) after each atom.
Positions (direct):
Ba (0.0000, 0.0000, 0.0000)  2 B 2.19
Ta (0.0000, 0.5000, 0.0000)  2 Ba 2.63
Ta (0.5000, 0.0000, 0.0000)  2 Ba 2.63
Ge (0.5000, 0.5000, 0.5000)  8 Ta 3.42, 4 B 3.72
B (0.0000, 0.0000, 0.5000)  2 Ba 2.19



VASP calculation (GGA-PBE) on BaYGeB2 after structural relaxation.

Computed properties:
DFT total energy = -3.515 eV/atom
space-group type = P4/mmm (123)
total moment = 0.00 μB/f.u.
energy relative to the elements = 1.76 eV per atom
crystal system = tetragonal
calculated volume = 127.68 Å³ per cell

abc: 4.7605 4.7605 5.6341
angles: 90.00 90.00 90.00
With the nearest neighbours (Å) after each atom.
Positions (direct):
Ba (0.0000, 0.0000, 0.0000)  4 B 2.38
Y (0.5000, 0.5000, 0.5000)  4 Ge 3.37, 8 B 3.69
Ge (0.0000, 0.0000, 0.5000)  2 Ba 2.82
B (0.0000, 0.5000, 0.0000)  2 Ba 2.38
B (0.5000, 0.0000, 0.0000)  2 Ba 2.38



VASP calculation (GGA-PBE) on BaY2GeB after structural relaxation.

Computed properties:
DFT total energy = -3.621 eV/atom
space-group type = P4/mmm (123)
total moment = 0.00 μB/f.u.
energy relative to the elements = 1.61 eV per atom
crystal system = tetragonal
calculated volume = 150.19 Å³ per cell

abc: 5.7686 5.7686 4.5135
angles: 90.00 90.00 90.00
With the nearest neighbours (Å) after each atom.
Positions (direct):
Ba (0.0000, 0.0000, 0.0000)  2 B 2.26
Y (0.0000, 0.5000, 0.0000)  2 Ba 2.88
Y (0.5000, 0.0000, 0.0000)  2 Ba 2.88
Ge (0.5000, 0.5000, 0.5000)  8 Y 3.66, 4 B 4.08
B (0.0000, 0.0000, 0.5000)  2 Ba 2.26



VASP calculation (GGA-PBE) on BaBH4 after structural relaxation.

Computed properties:
DFT total energy = -3.820 eV/atom
space-group type = P2_1/m (11)
relative energy among the computed polymorphs = 0.0 kJ per mole of atoms
total moment = 0.00 μB/f.u.
crystal system = monoclinic
calculated volume = 134.79 Å³ per cell

abc: 4.4774 4.7382 6.4132
angles: 90.00 97.82 90.00
With the nearest neighbours (Å) after each atom.
Positions (direct):
Ba (0.2305, 0.2500, 0.2613)  9 H 2.49-2.77
Ba (0.7695, 0.7500, 0.7387)  9 H 2.49-2.77
B (0.3126, 0.2500, 0.7957)  3 H 1.24-1.28
B (0.6874, 0.7500, 0.2043)  3 H 1.24-1.28
H (0.0627, 0.2500, 0.8599)  1 B 1.24
H (0.2899, 0.0435, 0.6654)  1 B 1.28
H (0.2899, 0.4565, 0.6654)  1 B 1.28
H (0.5000, 0.0000, 0.0000)  2 B 1.88
H (0.5000, 0.5000, 0.0000)  2 B 1.88
H (0.7101, 0.5435, 0.3346)  1 B 1.28
H (0.7101, 0.9565, 0.3346)  1 B 1.28
H (0.9373, 0.7500, 0.1401)  1 B 1.24



VASP calculation (GGA-PBE) on BaB3H after structural relaxation.

Computed properties:
DFT total energy = -1.802 eV/atom
space-group type = Pm-3m (221)
relative energy among the computed polymorphs = 121.6 kJ per mole of atoms
total moment = 0.27 μB/f.u.
crystal system = cubic
calculated volume = 161.78 Å³ per cell

abc: 5.4489 5.4489 5.4489
angles: 90.00 90.00 90.00
With the nearest neighbours (Å) after each atom.
Positions (direct):
Ba (0.0000, 0.0000, 0.0000)  6 B 2.72
B (0.0000, 0.0000, 0.5000)  2 Ba 2.72
B (0.0000, 0.5000, 0.0000)  2 Ba 2.72
B (0.5000, 0.0000, 0.0000)  2 Ba 2.72
H (0.5000, 0.5000, 0.5000)  12 B 3.85



VASP calculation (GGA-PBE) on BaB2H8 after structural relaxation.

Computed properties:
DFT total energy = -4.233 eV/atom
space-group type = C2/m (12)
relative energy among the computed polymorphs = 0.0 kJ per mole of atoms
total moment = 0.00 μB/f.u.
crystal system = monoclinic
calculated volume = 118.09 Å³ per cell

abc: 5.0191 5.0191 6.1488
angles: 114.15 114.15 59.87
With the nearest neighbours (Å) after each atom.
Positions (direct):
Ba (0.0000, 0.0000, 0.0000)  14 H 2.63-2.79
B (0.2353, 0.2353, 0.7077)  4 H 1.21-1.23
B (0.7647, 0.7647, 0.2923)  4 H 1.21-1.23
H (0.0091, 0.6057, 0.2188)  1 B 1.23
H (0.1615, 0.1615, 0.4845)  1 B 1.21
H (0.3942, 0.3942, 0.7828)  1 B 1.23
H (0.3943, 0.9909, 0.7812)  1 B 1.23
H (0.6057, 0.0091, 0.2188)  1 B 1.23
H (0.6058, 0.6058, 0.2172)  1 B 1.23
H (0.8385, 0.8385, 0.5155)  1 B 1.21
H (0.9909, 0.3943, 0.7812)  1 B 1.23